Record 1
Density functional theory data (GGA-PBEsol) for a geometry-optimized Zr2Co2Rh structure.

**Spin magnetization**: 0.00 μB per cell
**ρ**: 8.9 g cm⁻³
**D(E_F)**: 3.9 states/eV/f.u.
**E_form**: -2.22 eV per formula unit

The structure in CIF format:
```
data_Zr2Co2Rh
_cell_length_a 6.629
_cell_length_b 6.629
_cell_length_c 3.409
_cell_angle_alpha 90.00
_cell_angle_beta 90.00
_cell_angle_gamma 90.00
_symmetry_space_group_name_H-M 'P 4/m b m'
_symmetry_Int_Tables_number 127
_symmetry_space_group_name_Hall '-P 4 2ab'
loop_
_atom_site_label
_atom_site_type_symbol
_atom_site_fract_x
_atom_site_fract_y
_atom_site_fract_z
Zr1 Zr 0.182 0.318 0.000
Co1 Co 0.120 0.620 0.500
Rh1 Rh 0.000 0.000 0.500
```



Record 2
Density functional theory data (GGA-PBEsol) for a geometry-optimized Tl3Cl structure.

**Uncorrected formation energy**: -0.296 eV/atom
**Spin magnetization**: 0.00 μB per cell
**ρ**: 9.9 g cm⁻³
**D(E_F)**: 1.6 states/eV/f.u.

The structure in CIF format:
```
data_Tl3Cl
_cell_length_a 4.271
_cell_length_b 5.349
_cell_length_c 9.490
_cell_angle_alpha 90.00
_cell_angle_beta 90.00
_cell_angle_gamma 90.00
_symmetry_space_group_name_H-M 'C m m m'
_symmetry_Int_Tables_number 65
_symmetry_space_group_name_Hall '-C 2 2'
loop_
_atom_site_label
_atom_site_type_symbol
_atom_site_fract_x
_atom_site_fract_y
_atom_site_fract_z
Tl1 Tl 0.000 0.000 0.000
Tl2 Tl 0.000 0.500 0.273
Cl1 Cl 0.000 0.000 0.500
```



Record 3
Density functional theory data (GGA-PBEsol) for a geometry-optimized Mg30AlVO32 structure.

**Uncorrected formation energy**: -2.669 eV/atom
**Spin magnetization**: 3.04 μB per cell
**ρ**: 3.6 g cm⁻³
**D(E_F)**: 2.4 states/eV/f.u.

The structure in CIF format:
```
data_Mg30AlVO32
_cell_length_a 8.465
_cell_length_b 8.465
_cell_length_c 8.465
_cell_angle_alpha 90.00
_cell_angle_beta 90.00
_cell_angle_gamma 90.00
_symmetry_space_group_name_H-M 'P 4/m m m'
_symmetry_Int_Tables_number 123
_symmetry_space_group_name_Hall '-P 4 2'
loop_
_atom_site_label
_atom_site_type_symbol
_atom_site_fract_x
_atom_site_fract_y
_atom_site_fract_z
Mg1 Mg 0.000 0.000 0.000
Mg2 Mg 0.000 0.250 0.250
Mg3 Mg 0.000 0.500 0.000
Mg4 Mg 0.000 0.500 0.500
Mg5 Mg 0.249 0.249 0.500
Mg6 Mg 0.249 0.500 0.249
Mg7 Mg 0.250 0.250 0.000
Mg8 Mg 0.500 0.500 0.000
Al1 Al 0.500 0.500 0.500
V1 V 0.000 0.000 0.500
O1 O 0.000 0.000 0.248
O2 O 0.000 0.251 0.000
O3 O 0.000 0.254 0.500
O4 O 0.000 0.500 0.252
O5 O 0.250 0.250 0.251
O6 O 0.252 0.500 0.000
O7 O 0.265 0.500 0.500
O8 O 0.500 0.500 0.265
```



Record 4
Density functional theory data (GGA-PBEsol) for a geometry-optimized LiMgTe4 structure.

**Uncorrected formation energy**: 0.117 eV/atom
**Spin magnetization**: 0.00 μB per cell
**ρ**: 4.9 g cm⁻³
**D(E_F)**: 4.9 states/eV/f.u.

The structure in CIF format:
```
data_LiMgTe4
_cell_length_a 9.018
_cell_length_b 9.018
_cell_length_c 9.018
_cell_angle_alpha 90.00
_cell_angle_beta 90.00
_cell_angle_gamma 90.00
_symmetry_space_group_name_H-M 'F -4 3 m'
_symmetry_Int_Tables_number 216
_symmetry_space_group_name_Hall 'F -4 2 3'
loop_
_atom_site_label
_atom_site_type_symbol
_atom_site_fract_x
_atom_site_fract_y
_atom_site_fract_z
Li1 Li 0.000 0.000 0.000
Mg1 Mg 0.250 0.250 0.250
Te1 Te 0.124 0.124 0.624
```



Record 5
Density functional theory data (GGA-PBEsol) for a geometry-optimized ZnOs3 structure.

**Spin magnetization**: 0.00 μB per cell
**ρ**: 19.2 g cm⁻³
**D(E_F)**: 3.6 states/eV/f.u.
**E_form**: 1.66 eV per formula unit

The structure in CIF format:
```
data_ZnOs3
_cell_length_a 2.878
_cell_length_b 4.405
_cell_length_c 8.680
_cell_angle_alpha 90.00
_cell_angle_beta 90.00
_cell_angle_gamma 90.00
_symmetry_space_group_name_H-M 'I m m m'
_symmetry_Int_Tables_number 71
_symmetry_space_group_name_Hall '-I 2 2'
loop_
_atom_site_label
_atom_site_type_symbol
_atom_site_fract_x
_atom_site_fract_y
_atom_site_fract_z
Zn1 Zn 0.000 0.000 0.000
Os1 Os 0.000 0.000 0.500
Os2 Os 0.000 0.500 0.263
```



Record 6
Density functional theory data (GGA-PBEsol) for a geometry-optimized AlAs3P structure.

**Spin magnetization**: 0.00 μB per cell
**ρ**: 4.5 g cm⁻³
**D(E_F)**: 3.1 states/eV/f.u.
**E_form**: 3.29 eV per formula unit

The structure in CIF format:
```
data_AlAs3P
_cell_length_a 4.716
_cell_length_b 4.716
_cell_length_c 4.716
_cell_angle_alpha 90.00
_cell_angle_beta 90.00
_cell_angle_gamma 90.00
_symmetry_space_group_name_H-M 'P m -3 m'
_symmetry_Int_Tables_number 221
_symmetry_space_group_name_Hall '-P 4 2 3'
loop_
_atom_site_label
_atom_site_type_symbol
_atom_site_fract_x
_atom_site_fract_y
_atom_site_fract_z
Al1 Al 0.000 0.000 0.000
As1 As 0.000 0.500 0.500
P1 P 0.500 0.500 0.500
```